[1]
VASP calculation (PBE) on crystalline ZrTlSi2Se at its relaxed geometry.

Its final energy is -0.2771 Ry per atom. Its energy relative to the elements, uncorrected is 1279 meV per atom.

The structure belongs to space group P4/mmm (No. 123); the cell edges are 4.9508, 4.9508 and 5.7286 Å and the angles 90.00°, 90.00° and 90.00°. The asymmetric unit holds Zr at (0.0000, 0.0000, 0.0000), Tl at (0.0000, 0.0000, 0.5000), Si at (0.0000, 0.5000, 0.5000) and Se at (0.5000, 0.5000, 0.0000).

[2]
VASP calculation (PBE) on crystalline Ca2CrWCl at its relaxed geometry.

Its final energy is -0.3684 Ry per atom. Its energy relative to the elements, uncorrected is 673 meV per atom.

The structure belongs to space group P4/mmm (No. 123); the cell edges are 5.9336, 5.9336 and 4.2735 Å and the angles 90.00°, 90.00° and 90.00°. The asymmetric unit holds Ca at (0.0000, 0.5000, 0.0000), Cr at (0.0000, 0.0000, 0.5000), W at (0.0000, 0.0000, 0.0000) and Cl at (0.5000, 0.5000, 0.5000).